YSc2Te: single point on PBEsol structure, SCAN.

Output
DOS(E_F): 3.8 states/eV per cell
total magnetization: 0.000 μB per formula unit
energy relative to the elements, uncorrected: -0.5884 eV/atom
calculated total energy: -95.9 eV/f.u.

Cell lengths 3.7808, 3.7808, 6.8144 Å; angles 90.00, 90.00, 90.00 degrees
Fractional positions:
Y (0.0000, 0.0000, 0.0000)
Sc (0.0000, 0.0000, 0.5166)
Sc (0.5000, 0.5000, 0.2749)
Te (0.5000, 0.5000, 0.7323)

ZnCuBI2: single point on PBEsol structure, SCAN.

Output
DOS(E_F): 1.8 states/eV per cell
total magnetization: 0.000 μB per formula unit
energy relative to the elements, uncorrected: 0.7654 eV/atom
calculated total energy: -105.8 eV/f.u.

Cell lengths 5.2048, 5.2048, 3.9041 Å; angles 90.00, 90.00, 90.00 degrees
Fractional positions:
Zn (0.0000, 0.0000, 0.0000)
Cu (0.5000, 0.5000, 0.0000)
B (0.5000, 0.5000, 0.5000)
I (0.0000, 0.5000, 0.5000)
I (0.5000, 0.0000, 0.5000)